Record 1
Density functional theory data (GGA-PBE) for a geometry-optimized Pm2ZrUP4 structure.

Unit cell a=6.8434 b=3.9606 c=6.9230 alpha=90.00 beta=109.08 gamma=90.00
Positions (direct):
Pm1 0.0000 0.0000 0.0000
Pm2 0.5000 0.5000 0.0000
Zr1 0.0000 0.5000 0.5000
U1 0.5000 0.0000 0.5000
P1 0.2402 0.0000 0.7279
P2 0.2519 0.5000 0.2691
P3 0.7481 0.5000 0.7309
P4 0.7598 0.0000 0.2721

Computed properties:
calculated formation energy = -131 kJ per mole of atoms
V = 177.34 Å³ per cell
M_tot = 2.039 μB per cell
N(E_F) = 7.596 states/eV/cell
space-group type = No. 10



Record 2
Density functional theory data (GGA-PBE) for a geometry-optimized TaGa2CoBi structure.

Unit cell a=5.0672 b=5.0672 c=4.5773 alpha=90.00 beta=90.00 gamma=90.00
Positions (direct):
Ta1 0.0000 0.0000 0.0000
Ga1 0.0000 0.5000 0.0000
Ga2 0.5000 0.0000 0.0000
Co1 0.0000 0.0000 0.5000
Bi1 0.5000 0.5000 0.5000

Computed properties:
calculated formation energy = 78 kJ per mole of atoms
V = 117.53 Å³ per cell
M_tot = 0.709 μB per cell
N(E_F) = 4.862 states/eV/cell
space-group type = No. 123



Look up the N(E_F) of the first one.
7.596 states/eV/cell